In2Pt (PBEsol, optimized geometry); total DFT energy (no corrections) = -4.7246 eV per atom; DFT formation energy = -0.415 eV/atom; calculated volume = 243.46 Å³ per cell; crystal system = monoclinic; symmetry = C2/m, No. 12
1.0
9.7198 0.0000 0.0000
0.0000 3.7335 0.0000
-3.5364 0.0000 6.7088
In Pt
8 4
Direct
0.0941 0.0000 0.3752
0.1600 0.5000 0.0658
0.3400 0.0000 0.9342
0.4059 0.5000 0.6248
0.5941 0.5000 0.3752
0.6600 0.0000 0.0658
0.8400 0.5000 0.9342
0.9059 0.0000 0.6248
0.1423 0.5000 0.6812
0.3577 0.0000 0.3188
0.6423 0.0000 0.6812
0.8577 0.5000 0.3188


InPt4 (PBEsol, optimized geometry); total DFT energy (no corrections) = -6.3990 eV per atom; DFT formation energy = -0.232 eV/atom; calculated volume = 157.85 Å³ per cell; crystal system = tetragonal; symmetry = I4/m, No. 87
1.0
6.2606 0.0000 0.0000
0.0000 6.2606 0.0000
0.0000 0.0000 4.0272
In Pt
2 8
Direct
0.0000 0.0000 0.0000
0.5000 0.5000 0.5000
0.0978 0.3034 0.5000
0.1966 0.5978 0.0000
0.3034 0.9022 0.5000
0.4022 0.1966 0.0000
0.5978 0.8034 0.0000
0.6966 0.0978 0.5000
0.8034 0.4022 0.0000
0.9022 0.6966 0.5000


Rb3InPt (PBEsol, optimized geometry); total DFT energy (no corrections) = -2.2407 eV per atom; DFT formation energy = 0.364 eV/atom; calculated volume = 246.43 Å³ per cell; crystal system = cubic; symmetry = Pm-3m, No. 221
1.0
6.2695 0.0000 0.0000
0.0000 6.2695 0.0000
0.0000 0.0000 6.2695
Rb In Pt
3 1 1
Direct
0.0000 0.0000 0.5000
0.0000 0.5000 0.0000
0.5000 0.0000 0.0000
0.5000 0.5000 0.5000
0.0000 0.0000 0.0000


RbInRePt2 (PBEsol, optimized geometry); total DFT energy (no corrections) = -4.6703 eV per atom; DFT formation energy = 1.583 eV/atom; calculated volume = 130.25 Å³ per cell; crystal system = tetragonal; symmetry = P4/mmm, No. 123
1.0
5.0554 0.0000 0.0000
0.0000 5.0554 0.0000
0.0000 0.0000 5.0963
Rb In Re Pt
1 1 1 2
Direct
0.0000 0.0000 0.0000
0.5000 0.5000 0.5000
0.5000 0.5000 0.0000
0.0000 0.5000 0.5000
0.5000 0.0000 0.5000


InRe2Pt (PBEsol, optimized geometry); total DFT energy (no corrections) = -8.5539 eV per atom; DFT formation energy = 0.599 eV/atom; calculated volume = 63.42 Å³ per cell; crystal system = tetragonal; symmetry = P4/mmm, No. 123
1.0
4.7784 0.0000 0.0000
0.0000 4.7784 0.0000
0.0000 0.0000 2.7776
In Re Pt
1 2 1
Direct
0.0000 0.0000 0.0000
0.0000 0.5000 0.5000
0.5000 0.0000 0.5000
0.5000 0.5000 0.0000


InRe2Pt (PBEsol, optimized geometry); total DFT energy (no corrections) = -8.7549 eV per atom; DFT formation energy = 0.398 eV/atom; calculated volume = 64.78 Å³ per cell; crystal system = monoclinic; symmetry = P2/m, No. 10
1.0
2.8235 0.0000 0.0000
0.0000 4.9207 0.0000
-0.0119 0.0000 4.6629
In Re Pt
1 2 1
Direct
0.0000 0.0000 0.0000
0.3094 0.5000 0.2465
0.6906 0.5000 0.7535
0.5000 0.0000 0.5000


InRePt (PBEsol, optimized geometry); total DFT energy (no corrections) = -7.3294 eV per atom; DFT formation energy = 0.430 eV/atom; calculated volume = 49.09 Å³ per cell; crystal system = hexagonal; distance to the lowest polymorph of the same formula = 0 meV/atom; symmetry = P-6m2, No. 187
1.0
4.5554 0.0000 0.0000
-2.2777 3.9451 0.0000
0.0000 0.0000 2.7314
In Re Pt
1 1 1
Direct
0.0000 0.0000 0.0000
0.3333 0.6667 0.5000
0.6667 0.3333 0.0000


InRe2Pt (PBEsol, optimized geometry); total DFT energy (no corrections) = -8.6896 eV per atom; DFT formation energy = 0.463 eV/atom; calculated volume = 253.89 Å³ per cell; crystal system = cubic; symmetry = F-43m, No. 216
1.0
6.3321 0.0000 0.0000
0.0000 6.3321 0.0000
0.0000 0.0000 6.3321
In Re Pt
4 8 4
Direct
0.0000 0.0000 0.0000
0.0000 0.5000 0.5000
0.5000 0.0000 0.5000
0.5000 0.5000 0.0000
0.0000 0.0000 0.5000
0.0000 0.5000 0.0000
0.2500 0.2500 0.7500
0.2500 0.7500 0.2500
0.5000 0.0000 0.0000
0.5000 0.5000 0.5000
0.7500 0.2500 0.2500
0.7500 0.7500 0.7500
0.2500 0.2500 0.2500
0.2500 0.7500 0.7500
0.7500 0.2500 0.7500
0.7500 0.7500 0.2500


InRePt (PBEsol, optimized geometry); total DFT energy (no corrections) = -7.2188 eV per atom; DFT formation energy = 0.541 eV/atom; calculated volume = 229.98 Å³ per cell; crystal system = cubic; distance to the lowest polymorph of the same formula = 111 meV/atom; symmetry = F-43m, No. 216
1.0
6.1267 0.0000 0.0000
0.0000 6.1267 0.0000
0.0000 0.0000 6.1267
In Re Pt
4 4 4
Direct
0.0000 0.0000 0.0000
0.0000 0.5000 0.5000
0.5000 0.0000 0.5000
0.5000 0.5000 0.0000
0.0000 0.0000 0.5000
0.0000 0.5000 0.0000
0.5000 0.0000 0.0000
0.5000 0.5000 0.5000
0.2500 0.2500 0.7500
0.2500 0.7500 0.2500
0.7500 0.2500 0.2500
0.7500 0.7500 0.7500


InPtRh (PBEsol, optimized geometry); total DFT energy (no corrections) = -6.2353 eV per atom; DFT formation energy = -0.207 eV/atom; calculated volume = 94.94 Å³ per cell; crystal system = tetragonal; symmetry = I4mm, No. 107
1.0
2.9265 0.0000 0.0000
0.0000 2.9265 0.0000
0.0000 0.0000 11.0853
In Pt Rh
2 2 2
Direct
0.0000 0.0000 0.0000
0.5000 0.5000 0.5000
0.0000 0.0000 0.6729
0.5000 0.5000 0.1729
0.0000 0.0000 0.3378
0.5000 0.5000 0.8378


InRuPt2Rh (PBEsol, optimized geometry); total DFT energy (no corrections) = -5.4358 eV per atom; DFT formation energy = 1.608 eV/atom; calculated volume = 105.94 Å³ per cell; crystal system = tetragonal; symmetry = P4/mmm, No. 123
1.0
4.7025 0.0000 0.0000
0.0000 4.7025 0.0000
0.0000 0.0000 4.7906
In Ru Pt Rh
1 1 2 1
Direct
0.0000 0.0000 0.0000
0.5000 0.5000 0.0000
0.0000 0.5000 0.5000
0.5000 0.0000 0.5000
0.0000 0.0000 0.5000


SrInPt2Rh (PBEsol, optimized geometry); total DFT energy (no corrections) = -5.0321 eV per atom; DFT formation energy = 0.346 eV/atom; calculated volume = 118.97 Å³ per cell; crystal system = tetragonal; symmetry = P4/mmm, No. 123
1.0
4.9444 0.0000 0.0000
0.0000 4.9444 0.0000
0.0000 0.0000 4.8663
Sr In Pt Rh
1 1 2 1
Direct
0.0000 0.0000 0.0000
0.5000 0.5000 0.5000
0.0000 0.5000 0.5000
0.5000 0.0000 0.5000
0.5000 0.5000 0.0000


InRu2Pt (PBEsol, optimized geometry); total DFT energy (no corrections) = -7.4034 eV per atom; DFT formation energy = 0.169 eV/atom; calculated volume = 60.64 Å³ per cell; crystal system = tetragonal; symmetry = P4/mmm, No. 123
1.0
3.9172 0.0000 0.0000
0.0000 3.9172 0.0000
0.0000 0.0000 3.9516
In Ru Pt
1 2 1
Direct
0.0000 0.0000 0.0000
0.0000 0.5000 0.5000
0.5000 0.0000 0.5000
0.5000 0.5000 0.0000


InRu2Pt (PBEsol, optimized geometry); total DFT energy (no corrections) = -7.3306 eV per atom; DFT formation energy = 0.242 eV/atom; calculated volume = 61.36 Å³ per cell; crystal system = tetragonal; symmetry = P4/mmm, No. 123
1.0
3.1891 0.0000 0.0000
0.0000 3.1891 0.0000
0.0000 0.0000 6.0330
In Ru Pt
1 2 1
Direct
0.0000 0.0000 0.0000
0.5000 0.5000 0.2691
0.5000 0.5000 0.7309
0.0000 0.0000 0.5000


InRu2Pt (PBEsol, optimized geometry); total DFT energy (no corrections) = -7.5897 eV per atom; DFT formation energy = -0.017 eV/atom; calculated volume = 60.68 Å³ per cell; crystal system = tetragonal; symmetry = P4mm, No. 99
1.0
2.8070 0.0000 0.0000
0.0000 2.8070 0.0000
0.0000 0.0000 7.7018
In Ru Pt
1 2 1
Direct
0.0000 0.0000 0.0000
0.0000 0.0000 0.5232
0.5000 0.5000 0.7335
0.5000 0.5000 0.2694


InRu2Pt (PBEsol, optimized geometry); total DFT energy (no corrections) = -7.4267 eV per atom; DFT formation energy = 0.146 eV/atom; calculated volume = 182.68 Å³ per cell; crystal system = trigonal; symmetry = R3m, No. 160
1.0
2.8117 0.0000 0.0000
-1.4058 2.4350 0.0000
0.0000 0.0000 26.6827
In Ru Pt
3 6 3
Direct
0.0000 0.0000 0.0000
0.3333 0.6667 0.6667
0.6667 0.3333 0.3333
0.0000 0.0000 0.2465
0.0000 0.0000 0.5048
0.3333 0.6667 0.1715
0.3333 0.6667 0.9132
0.6667 0.3333 0.5798
0.6667 0.3333 0.8382
0.0000 0.0000 0.7543
0.3333 0.6667 0.4209
0.6667 0.3333 0.0876


InRuPt (PBEsol, optimized geometry); total DFT energy (no corrections) = -6.3519 eV per atom; DFT formation energy = 0.354 eV/atom; calculated volume = 224.75 Å³ per cell; crystal system = cubic; symmetry = F-43m, No. 216
1.0
6.0800 0.0000 0.0000
0.0000 6.0800 0.0000
0.0000 0.0000 6.0800
In Ru Pt
4 4 4
Direct
0.0000 0.0000 0.0000
0.0000 0.5000 0.5000
0.5000 0.0000 0.5000
0.5000 0.5000 0.0000
0.2500 0.2500 0.2500
0.2500 0.7500 0.7500
0.7500 0.2500 0.7500
0.7500 0.7500 0.2500
0.0000 0.0000 0.5000
0.0000 0.5000 0.0000
0.5000 0.0000 0.0000
0.5000 0.5000 0.5000


InRu2Pt (PBEsol, optimized geometry); total DFT energy (no corrections) = -7.4490 eV per atom; DFT formation energy = 0.124 eV/atom; calculated volume = 120.63 Å³ per cell; crystal system = tetragonal; symmetry = I4/mmm, No. 139
1.0
3.9644 0.0000 0.0000
0.0000 3.9644 0.0000
0.0000 0.0000 7.6756
In Ru Pt
2 4 2
Direct
0.0000 0.0000 0.0000
0.5000 0.5000 0.5000
0.0000 0.5000 0.2500
0.0000 0.5000 0.7500
0.5000 0.0000 0.2500
0.5000 0.0000 0.7500
0.0000 0.0000 0.5000
0.5000 0.5000 0.0000


InRu2Pt (PBEsol, optimized geometry); total DFT energy (no corrections) = -7.3745 eV per atom; DFT formation energy = 0.198 eV/atom; calculated volume = 120.96 Å³ per cell; crystal system = orthorhombic; symmetry = Cmmm, No. 65
1.0
5.6139 0.0000 0.0000
0.0000 7.7564 0.0000
0.0000 0.0000 2.7778
In Ru Pt
2 4 2
Direct
0.0000 0.0000 0.0000
0.5000 0.5000 0.0000
0.2500 0.2500 0.5000
0.2500 0.7500 0.5000
0.7500 0.2500 0.5000
0.7500 0.7500 0.5000
0.0000 0.5000 0.0000
0.5000 0.0000 0.0000


InRuPt2 (PBEsol, optimized geometry); total DFT energy (no corrections) = -6.7010 eV per atom; DFT formation energy = 0.070 eV/atom; calculated volume = 188.35 Å³ per cell; crystal system = trigonal; symmetry = R-3m, No. 166
1.0
2.8603 0.0000 0.0000
-1.4302 2.4771 0.0000
0.0000 0.0000 26.5827
In Ru Pt
3 3 6
Direct
0.0000 0.0000 0.0000
0.3333 0.6667 0.6667
0.6667 0.3333 0.3333
0.0000 0.0000 0.5000
0.3333 0.6667 0.1667
0.6667 0.3333 0.8333
0.0000 0.0000 0.2467
0.0000 0.0000 0.7533
0.3333 0.6667 0.4200
0.3333 0.6667 0.9134
0.6667 0.3333 0.0866
0.6667 0.3333 0.5800


How do the records compare in Fermi-level density of states? In the order shown, they have 0.95, 6.13, 2.70, 4.53, 4.02, 3.19, 3.68, 5.00, 3.52, 2.50, 10.09, 1.55, 5.68, 3.12, 3.29, 4.09, 4.92, 3.90, 5.37, 3.04 states/eV/f.u..